# 1
# PPbSe2

A geometry-optimized PPbSe2 structure (PBE-GGA, the Alexandria database).

Values from the calculation:
Crystal system: orthorhombic
ΔE_f (raw) in eV/f.u.: 0.757
M_tot in μB per atom: 0.000
Fermi-level density of states in states/eV per atom: 0.394
Uncorrected energy in eV/cell: -15.33
Offset from the most stable computed form in eV per atom: 0.3183

Cell and atoms, written as POSCAR:
```
PPbSe2
1.0
3.0449 -0.0852 -2.8287
-3.9755 0.9572 -0.7478
1.5593 7.6084 1.4492
Se P Pb
2 1 1
Direct
0.0000 0.0000 0.7095 Se
0.0000 0.0000 0.2905 Se
0.5000 0.5000 0.5000 P
0.5000 0.5000 0.0000 Pb
```


# 2
# SrNp2NbO8

A geometry-optimized SrNp2NbO8 structure (PBE-GGA, the Alexandria database).

Values from the calculation:
Crystal system: orthorhombic
ΔE_f (raw) in eV/f.u.: -34.165
M_tot in μB per atom: 0.417
Fermi-level density of states in states/eV per atom: 0.914
Uncorrected energy in eV/cell: -111.46

Cell and atoms, written as POSCAR:
```
SrNp2NbO8
1.0
-0.2525 4.0727 -3.0227
-4.0920 1.7307 2.4542
4.1152 3.5100 4.3858
O Np Nb Sr
8 2 1 1
Direct
0.1976 0.8024 0.2077 O
0.3309 0.3303 0.5000 O
0.1975 0.8024 0.7923 O
0.8025 0.1976 0.2077 O
0.6691 0.6697 0.5000 O
0.2897 0.2898 0.0000 O
0.7103 0.7102 0.0000 O
0.8024 0.1976 0.7923 O
0.5000 0.5000 0.2434 Np
0.5000 0.5000 0.7566 Np
0.0000 0.0000 0.0000 Nb
0.0000 0.0000 0.5000 Sr
```


# 3
# BeTc2Cl

A geometry-optimized BeTc2Cl structure (PBE-GGA, the Alexandria database).

Values from the calculation:
Crystal system: tetragonal
ΔE_f (raw) in eV/f.u.: 1.221
M_tot in μB per atom: 0.000
Fermi-level density of states in states/eV per atom: 0.599
Uncorrected energy in eV/cell: -25.08
Offset from the most stable computed form in eV per atom: 0.2118

Cell and atoms, written as POSCAR:
```
BeTc2Cl
1.0
-2.4653 -0.0712 1.7412
-0.8666 -2.5671 -1.3319
3.2170 -3.3776 4.4168
Be Tc Cl
1 2 1
Direct
0.5000 0.5000 0.2500 Be
0.0000 0.0000 0.4260 Tc
0.0000 0.0000 0.0740 Tc
0.5000 0.5000 0.7500 Cl
```